(1)
DFT (PBE) results for a relaxed PuMn3H6 crystal.

- total magnetization (μB/cell) = 32.75

```
data_PuMn3H6
_cell_length_a 4.7915
_cell_length_b 4.7915
_cell_length_c 11.8783
_cell_angle_alpha 90.00
_cell_angle_beta 90.00
_cell_angle_gamma 120.00
_symmetry_space_group_name_H-M 'R 3'
_symmetry_Int_Tables_number 146
_symmetry_space_group_name_Hall 'R 3'
loop_
_atom_site_label
_atom_site_type_symbol
_atom_site_fract_x
_atom_site_fract_y
_atom_site_fract_z
_atom_site_occupancy
Pu1 Pu 0.0000 0.0000 0.0000 1
Mn1 Mn 0.0000 0.0000 0.2466 1
Mn2 Mn 0.0000 0.0000 0.5001 1
Mn3 Mn 0.0000 0.0000 0.7534 1
H1 H 0.0000 0.4096 0.4999 1
H2 H 0.1545 0.8205 0.3330 1
```

***

(2)
DFT (PBE) results for a relaxed PuMnH4 crystal.

- E above lowest polymorph (meV/atom) = 0.0
- total magnetization (μB/cell) = 16.03

```
data_PuMnH4
_cell_length_a 3.683
_cell_length_b 11.826
_cell_length_c 4.667
_cell_angle_alpha 90.00
_cell_angle_beta 90.00
_cell_angle_gamma 90.00
_symmetry_space_group_name_H-M 'C m c m'
_symmetry_Int_Tables_number 63
_symmetry_space_group_name_Hall '-C 2c 2'
loop_
_atom_site_label
_atom_site_type_symbol
_atom_site_fract_x
_atom_site_fract_y
_atom_site_fract_z
_atom_site_occupancy
Pu1 Pu 0.000 0.132 0.250 1
Mn1 Mn 0.000 0.402 0.250 1
H1 H 0.000 0.091 0.750 1
H2 H 0.000 0.303 0.004 1
H3 H 0.000 0.500 0.000 1
```

***

(3)
DFT (PBE) results for a relaxed PuMnH3 crystal.

- total magnetization (μB/cell) = 5.33

```
data_PuMnH3
_cell_length_a 4.396
_cell_length_b 3.815
_cell_length_c 6.181
_cell_angle_alpha 90.00
_cell_angle_beta 105.72
_cell_angle_gamma 90.00
_symmetry_space_group_name_H-M 'P 1 21/m 1'
_symmetry_Int_Tables_number 11
loop_
_symmetry_equiv_pos_as_xyz
'x,y,z'
'-x,-y,-z'
'-x,y+1/2,-z'
'x,-y+1/2,z'
loop_
_atom_site_label
_atom_site_type_symbol
_atom_site_fract_x
_atom_site_fract_y
_atom_site_fract_z
_atom_site_occupancy
Pu1 Pu 0.144 0.250 0.283 1
Mn1 Mn 0.398 0.250 0.840 1
H1 H 0.033 0.250 0.899 1
H2 H 0.412 0.750 0.857 1
H3 H 0.455 0.750 0.386 1
```

***

(4)
DFT (PBE) results for a relaxed PuMnH4 crystal.

- E above lowest polymorph (meV/atom) = 134.4
- total magnetization (μB/cell) = 25.69

```
data_PuMnH4
_cell_length_a 6.229
_cell_length_b 8.690
_cell_length_c 4.326
_cell_angle_alpha 90.00
_cell_angle_beta 117.50
_cell_angle_gamma 90.00
_symmetry_space_group_name_H-M 'C 1 2/c 1'
_symmetry_Int_Tables_number 15
loop_
_symmetry_equiv_pos_as_xyz
'x,y,z'
'-x,-y,-z'
'-x,y,-z+1/2'
'x,-y,z+1/2'
'x+1/2,y+1/2,z'
'-x+1/2,-y+1/2,-z'
'-x+1/2,y+1/2,-z+1/2'
'x+1/2,-y+1/2,z+1/2'
loop_
_atom_site_label
_atom_site_type_symbol
_atom_site_fract_x
_atom_site_fract_y
_atom_site_fract_z
_atom_site_occupancy
Pu1 Pu 0.000 0.156 0.250 1
Mn1 Mn 0.000 0.442 0.750 1
H1 H 0.148 0.291 0.747 1
H2 H 0.211 0.447 0.189 1
```

***

(5)
DFT (PBE) results for a relaxed PuMnH3 crystal.

- total magnetization (μB/cell) = 6.02

```
data_PuMnH3
_cell_length_a 3.555
_cell_length_b 3.555
_cell_length_c 3.555
_cell_angle_alpha 90.00
_cell_angle_beta 90.00
_cell_angle_gamma 90.00
_symmetry_space_group_name_H-M 'P m -3 m'
_symmetry_Int_Tables_number 221
_symmetry_space_group_name_Hall '-P 4 2 3'
loop_
_atom_site_label
_atom_site_type_symbol
_atom_site_fract_x
_atom_site_fract_y
_atom_site_fract_z
_atom_site_occupancy
Pu1 Pu 0.000 0.000 0.000 1
Mn1 Mn 0.500 0.500 0.500 1
H1 H 0.000 0.500 0.500 1
```

***

(6)
DFT (PBE) results for a relaxed Pu2MnH4 crystal.

- total magnetization (μB/cell) = 18.99

```
data_Pu2MnH4
_cell_length_a 3.529
_cell_length_b 3.529
_cell_length_c 12.523
_cell_angle_alpha 90.00
_cell_angle_beta 90.00
_cell_angle_gamma 90.00
_symmetry_space_group_name_H-M 'I 4/m m m'
_symmetry_Int_Tables_number 139
_symmetry_space_group_name_Hall '-I 4 2'
loop_
_atom_site_label
_atom_site_type_symbol
_atom_site_fract_x
_atom_site_fract_y
_atom_site_fract_z
_atom_site_occupancy
Pu1 Pu 0.000 0.000 0.140 1
Mn1 Mn 0.000 0.000 0.500 1
H1 H 0.000 0.000 0.344 1
H2 H 0.000 0.500 0.000 1
```

***

(7)
DFT (PBE) results for a relaxed PuMn2ZnH8 crystal.

- total magnetization (μB/cell) = 9.58

```
data_PuMn2ZnH8
_cell_length_a 4.4223
_cell_length_b 4.4223
_cell_length_c 5.6434
_cell_angle_alpha 90.00
_cell_angle_beta 90.00
_cell_angle_gamma 120.00
_symmetry_space_group_name_H-M 'P -3'
_symmetry_Int_Tables_number 147
loop_
_symmetry_equiv_pos_as_xyz
'x,y,z'
'-x,-y,-z'
'-y,x-y,z'
'y,-x+y,-z'
'-x+y,-x,z'
'x-y,x,-z'
loop_
_atom_site_label
_atom_site_type_symbol
_atom_site_fract_x
_atom_site_fract_y
_atom_site_fract_z
_atom_site_occupancy
Pu1 Pu 0.0000 0.0000 0.0000 1
Mn1 Mn 0.3333 0.6667 0.5757 1
Zn1 Zn 0.0000 0.0000 0.5000 1
H1 H 0.0540 0.6342 0.3230 1
H2 H 0.3333 0.6667 0.8832 1
```

***

(8)
DFT (PBE) results for a relaxed Rb2MnH crystal.

- E above lowest polymorph (meV/atom) = 150.5
- total magnetization (μB/cell) = 17.32

```
data_Rb2MnH
_cell_length_a 8.523
_cell_length_b 8.523
_cell_length_c 8.523
_cell_angle_alpha 90.00
_cell_angle_beta 90.00
_cell_angle_gamma 90.00
_symmetry_space_group_name_H-M 'F m -3 m'
_symmetry_Int_Tables_number 225
_symmetry_space_group_name_Hall '-F 4 2 3'
loop_
_atom_site_label
_atom_site_type_symbol
_atom_site_fract_x
_atom_site_fract_y
_atom_site_fract_z
_atom_site_occupancy
Rb1 Rb 0.250 0.250 0.250 1
Mn1 Mn 0.000 0.000 0.000 1
H1 H 0.000 0.000 0.500 1
```

***

(9)
DFT (PBE) results for a relaxed RbMn3H crystal.

- E above lowest polymorph (meV/atom) = 1439.7
- total magnetization (μB/cell) = 15.00

```
data_RbMn3H
_cell_length_a 6.150
_cell_length_b 6.150
_cell_length_c 6.150
_cell_angle_alpha 90.00
_cell_angle_beta 90.00
_cell_angle_gamma 90.00
_symmetry_space_group_name_H-M 'P m -3 m'
_symmetry_Int_Tables_number 221
_symmetry_space_group_name_Hall '-P 4 2 3'
loop_
_atom_site_label
_atom_site_type_symbol
_atom_site_fract_x
_atom_site_fract_y
_atom_site_fract_z
_atom_site_occupancy
Rb1 Rb 0.000 0.000 0.000 1
Mn1 Mn 0.000 0.000 0.500 1
H1 H 0.500 0.500 0.500 1
```

***

(10)
DFT (PBE) results for a relaxed Rb2MnH crystal.

- E above lowest polymorph (meV/atom) = 0.0
- total magnetization (μB/cell) = 16.44

```
data_Rb2MnH
_cell_length_a 8.616
_cell_length_b 8.616
_cell_length_c 8.664
_cell_angle_alpha 90.00
_cell_angle_beta 90.00
_cell_angle_gamma 90.00
_symmetry_space_group_name_H-M 'I -4 2 d'
_symmetry_Int_Tables_number 122
_symmetry_space_group_name_Hall 'I -4 2bw'
loop_
_atom_site_label
_atom_site_type_symbol
_atom_site_fract_x
_atom_site_fract_y
_atom_site_fract_z
_atom_site_occupancy
Rb1 Rb 0.160 0.250 0.125 1
Mn1 Mn 0.000 0.000 0.500 1
H1 H 0.000 0.000 0.000 1
```

***

(11)
DFT (PBE) results for a relaxed RbMn3H crystal.

- E above lowest polymorph (meV/atom) = 0.0
- total magnetization (μB/cell) = 10.66

```
data_RbMn3H
_cell_length_a 4.295
_cell_length_b 4.295
_cell_length_c 4.295
_cell_angle_alpha 90.00
_cell_angle_beta 90.00
_cell_angle_gamma 90.00
_symmetry_space_group_name_H-M 'P m -3 m'
_symmetry_Int_Tables_number 221
_symmetry_space_group_name_Hall '-P 4 2 3'
loop_
_atom_site_label
_atom_site_type_symbol
_atom_site_fract_x
_atom_site_fract_y
_atom_site_fract_z
_atom_site_occupancy
Rb1 Rb 0.000 0.000 0.000 1
Mn1 Mn 0.000 0.500 0.500 1
H1 H 0.500 0.500 0.500 1
```

***

(12)
DFT (PBE) results for a relaxed Rb2MnH5 crystal.

- E above lowest polymorph (meV/atom) = 18.2
- total magnetization (μB/cell) = 8.00

```
data_Rb2MnH5
_cell_length_a 6.115
_cell_length_b 6.115
_cell_length_c 8.332
_cell_angle_alpha 90.00
_cell_angle_beta 90.00
_cell_angle_gamma 90.00
_symmetry_space_group_name_H-M 'I 4 m m'
_symmetry_Int_Tables_number 107
_symmetry_space_group_name_Hall 'I 4 -2'
loop_
_atom_site_label
_atom_site_type_symbol
_atom_site_fract_x
_atom_site_fract_y
_atom_site_fract_z
_atom_site_occupancy
Rb1 Rb 0.000 0.500 0.000 1
Mn1 Mn 0.000 0.000 0.223 1
H1 H 0.000 0.000 0.015 1
H2 H 0.190 0.190 0.265 1
```

***

| no. | E_tot (Ry per atom) |
| --- | --- |
| 1 | -0.457 |
| 2 | -0.471 |
| 3 | -0.508 |
| 4 | -0.461 |
| 5 | -0.503 |
| 6 | -0.553 |
| 7 | -0.369 |
| 8 | -0.204 |
| 9 | -0.278 |
| 10 | -0.215 |
| 11 | -0.384 |
| 12 | -0.261 |